No. 1
! TbThMgSn (PBE-GGA, relaxed); values from VASP
&SYSTEM
  ibrav = 0, nat = 4, ntyp = 4
/
ATOMIC_SPECIES
Tb 158.93 Tb.upf
Th 232.04 Th.upf
Mg 24.30 Mg.upf
Sn 118.71 Sn.upf
CELL_PARAMETERS angstrom
0.000 3.818 3.818
3.818 0.000 3.818
3.818 3.818 0.000
ATOMIC_POSITIONS crystal
Tb 0.000 0.000 0.000
Th 0.500 0.500 0.500
Mg 0.750 0.750 0.750
Sn 0.250 0.250 0.250
! Total DFT energy (no corrections) = -18.693 eV for the cell shown
! Symmetry = F-43m (216)
! Calculated formation energy = -261 meV per atom
! Magnetic moment = 0.00 μB per formula unit

No. 2
! TbMgZnSn (PBE-GGA, relaxed); values from VASP
&SYSTEM
  ibrav = 0, nat = 4, ntyp = 4
/
ATOMIC_SPECIES
Tb 158.93 Tb.upf
Mg 24.30 Mg.upf
Zn 65.41 Zn.upf
Sn 118.71 Sn.upf
CELL_PARAMETERS angstrom
4.313 0.000 0.000
0.000 4.521 0.000
0.000 0.000 4.622
ATOMIC_POSITIONS crystal
Tb 0.000 0.000 0.000
Mg 0.000 0.500 0.500
Zn 0.500 0.000 0.500
Sn 0.500 0.500 0.000
! Energy above the most stable polymorph in this dataset = 0.000 eV/atom
! Total DFT energy (no corrections) = -13.196 eV for the cell shown
! Symmetry = Pmmm (47)
! Calculated formation energy = -424 meV per atom
! Magnetic moment = 0.00 μB per formula unit

No. 3
! TbMg2Zn2Sn2 (PBE-GGA, relaxed); values from VASP
&SYSTEM
  ibrav = 0, nat = 7, ntyp = 4
/
ATOMIC_SPECIES
Tb 158.93 Tb.upf
Mg 24.30 Mg.upf
Zn 65.41 Zn.upf
Sn 118.71 Sn.upf
CELL_PARAMETERS angstrom
2.375 1.371 7.933
-2.375 1.371 7.933
0.000 -2.743 7.933
ATOMIC_POSITIONS crystal
Tb 0.000 0.000 0.000
Mg 0.137 0.137 0.137
Mg 0.863 0.863 0.863
Zn 0.443 0.443 0.443
Zn 0.557 0.557 0.557
Sn 0.261 0.261 0.261
Sn 0.739 0.739 0.739
! Total DFT energy (no corrections) = -19.954 eV for the cell shown
! Symmetry = R-3m (166)
! Calculated formation energy = -226 meV per atom
! Magnetic moment = 0.00 μB per formula unit

No. 4
! TbMgZnSn (PBE-GGA, relaxed); values from VASP
&SYSTEM
  ibrav = 0, nat = 4, ntyp = 4
/
ATOMIC_SPECIES
Tb 158.93 Tb.upf
Mg 24.30 Mg.upf
Zn 65.41 Zn.upf
Sn 118.71 Sn.upf
CELL_PARAMETERS angstrom
0.000 3.583 3.583
3.583 0.000 3.583
3.583 3.583 0.000
ATOMIC_POSITIONS crystal
Tb 0.000 0.000 0.000
Mg 0.500 0.500 0.500
Zn 0.750 0.750 0.750
Sn 0.250 0.250 0.250
! Energy above the most stable polymorph in this dataset = 0.120 eV/atom
! Total DFT energy (no corrections) = -12.715 eV for the cell shown
! Symmetry = F-43m (216)
! Calculated formation energy = -303 meV per atom
! Magnetic moment = 0.00 μB per formula unit

No. 5
! Mg2Tc2Sn (PBE-GGA, relaxed); values from VASP
&SYSTEM
  ibrav = 0, nat = 10, ntyp = 3
/
ATOMIC_SPECIES
Mg 24.30 Mg.upf
Tc 98.00 Tc.upf
Sn 118.71 Sn.upf
CELL_PARAMETERS angstrom
6.687 0.000 0.000
0.000 6.687 0.000
0.000 0.000 4.365
ATOMIC_POSITIONS crystal
Mg 0.165 0.335 0.000
Mg 0.335 0.835 0.000
Mg 0.665 0.165 0.000
Mg 0.835 0.665 0.000
Tc 0.122 0.622 0.500
Tc 0.378 0.122 0.500
Tc 0.622 0.878 0.500
Tc 0.878 0.378 0.500
Sn 0.000 0.000 0.500
Sn 0.500 0.500 0.500
! Total DFT energy (no corrections) = -54.876 eV for the cell shown
! Symmetry = P4/mbm (127)
! Calculated formation energy = 97 meV per atom
! Magnetic moment = 0.00 μB per formula unit

No. 6
! MgTc3Sn (PBE-GGA, relaxed); values from VASP
&SYSTEM
  ibrav = 0, nat = 5, ntyp = 3
/
ATOMIC_SPECIES
Mg 24.30 Mg.upf
Tc 98.00 Tc.upf
Sn 118.71 Sn.upf
CELL_PARAMETERS angstrom
4.575 0.000 0.000
0.000 4.575 0.000
0.000 0.000 4.575
ATOMIC_POSITIONS crystal
Mg 0.000 0.000 0.000
Tc 0.000 0.000 0.500
Tc 0.000 0.500 0.000
Tc 0.500 0.000 0.000
Sn 0.500 0.500 0.500
! Energy above the most stable polymorph in this dataset = 0.000 eV/atom
! Total DFT energy (no corrections) = -28.306 eV for the cell shown
! Symmetry = Pm-3m (221)
! Calculated formation energy = 1678 meV per atom
! Magnetic moment = 4.49 μB per formula unit